No. 1
Here is a relaxed Ce3Ge2S crystal from Alexandria. Energies are from PBE.

Geometry as POSCAR:
```
Ce3Ge2S
1.0
3.8569 -0.0004 -1.6096
-1.1430 5.1002 -2.7399
0.7267 0.5987 7.1666
Ge Ce S
2 3 1
Direct
0.8324 0.3324 0.6648
0.1676 0.6676 0.3352
0.8389 0.8389 0.6778
0.5000 0.5000 0.0000
0.1611 0.1611 0.3222
0.5000 0.0000 0.0000
```

Calculated values
**Energy relative to the elements, uncorrected**: -1.15 eV per atom
**Symmetry**: Immm
**ρ**: 6.4 Mg/m³

=====

No. 2
Here is a relaxed Rb3Cu4Te4 crystal from Alexandria. Energies are from PBE.

Geometry as POSCAR:
```
Rb3Cu4Te4
1.0
-1.5437 2.2585 4.8170
-4.2390 -5.3248 1.1382
8.6178 -2.2538 0.6331
Rb Cu Te
3 4 4
Direct
0.1240 0.1240 0.2479
0.8760 0.8760 0.7521
0.0000 0.5000 0.0000
0.3319 0.1473 0.6639
0.3319 0.5166 0.6639
0.6681 0.4834 0.3361
0.6681 0.8527 0.3361
0.5000 0.7744 0.0000
0.7720 0.2720 0.5440
0.2280 0.7280 0.4560
0.5000 0.2256 0.0000
```

Calculated values
**Energy relative to the elements, uncorrected**: -0.29 eV per atom
**Symmetry**: Immm
**ρ**: 5.7 Mg/m³

=====

No. 3
Here is a relaxed LiIn2Pt crystal from Alexandria. Energies are from PBE.

Geometry as POSCAR:
```
LiIn2Pt
1.0
4.5238 0.0000 0.0000
2.2619 3.9177 0.0000
2.2619 1.3059 4.8503
In Pt Li
2 1 1
Direct
0.0631 0.0631 0.8108
0.2711 0.2711 0.1867
0.6755 0.6755 0.9735
0.4903 0.4903 0.5290
```

Calculated values
**Energy relative to the elements**: -429.4 meV/atom
**Symmetry**: R3m
**ρ**: 8.3 Mg/m³

=====

No. 4
Here is a relaxed Rb2B4O7 crystal from Alexandria. Energies are from PBE.

Geometry as POSCAR:
```
Rb2B4O7
1.0
-5.1428 4.3389 0.2340
-5.5025 -3.8735 7.4467
3.4918 7.6322 6.7583
B O Rb
16 28 8
Direct
0.1486 0.2087 0.8519
0.9112 0.2900 0.3192
0.2073 0.0868 0.2628
0.5632 0.1624 0.7390
0.0888 0.7100 0.6808
0.8350 0.3106 0.7485
0.1312 0.4417 0.1993
0.7927 0.9132 0.7372
0.7029 0.2877 0.5502
0.9257 0.7708 0.8992
0.0743 0.2292 0.1008
0.8688 0.5583 0.8007
0.8514 0.7913 0.1481
0.4368 0.8376 0.2610
0.2971 0.7123 0.4498
0.1650 0.6894 0.2515
0.7758 0.4467 0.8180
0.3603 0.1571 0.8275
0.0747 0.1792 0.3554
0.8402 0.3304 0.6091
0.7883 0.8967 0.8650
0.1598 0.6696 0.3909
0.6832 0.2296 0.8049
0.0300 0.2158 0.9753
0.9449 0.7532 0.2483
0.9253 0.8208 0.6446
0.9882 0.4226 0.3101
0.1245 0.7446 0.8030
0.4619 0.7680 0.3828
0.1870 0.3461 0.0998
0.6673 0.0186 0.6922
0.3168 0.7704 0.1951
0.6397 0.8429 0.1725
0.8755 0.2554 0.1970
0.3327 0.9814 0.3078
0.9700 0.7842 0.0247
0.2117 0.1033 0.1350
0.2831 0.6973 0.5797
0.7169 0.3027 0.4203
0.0118 0.5774 0.6899
0.5381 0.2320 0.6172
0.8130 0.6539 0.9002
0.2242 0.5533 0.1820
0.0551 0.2468 0.7517
0.3316 0.4833 0.8765
0.2423 0.3807 0.4944
0.2318 0.0119 0.5923
0.6684 0.5167 0.1235
0.7682 0.9881 0.4077
0.6490 0.1218 0.0472
0.7577 0.6193 0.5056
0.3510 0.8782 0.9528
```

Calculated values
**Energy relative to the elements, uncorrected**: -2.38 eV per atom
**Symmetry**: P-1
**ρ**: 3.1 Mg/m³

=====

No. 5
Here is a relaxed MgCoAg2 crystal from Alexandria. Energies are from PBE.

Geometry as POSCAR:
```
MgCoAg2
1.0
4.9218 0.0123 0.0116
4.0766 2.7579 0.0116
0.9305 0.2865 4.7945
Ag Mg Co
2 1 1
Direct
0.9993 0.9993 0.0059
0.7566 0.7566 0.7338
0.2438 0.2438 0.2559
0.5004 0.5004 0.5044
```

Calculated values
**Energy relative to the elements**: 170.3 meV/atom
**Symmetry**: Cm
**ρ**: 7.7 Mg/m³

=====

No. 6
Here is a relaxed AsIr2Ru crystal from Alexandria. Energies are from PBE.

Geometry as POSCAR:
```
AsIr2Ru
1.0
-2.3851 1.3079 -0.7780
-1.0405 -0.3461 2.6081
2.9208 6.5357 2.0327
As Ir Ru
1 2 1
Direct
0.5000 0.5000 0.7500
0.0000 0.0000 0.0040
0.0000 0.0000 0.4960
0.5000 0.5000 0.2500
```

Calculated values
**Energy relative to the elements**: 200.4 meV/atom
**Symmetry**: P4/mmm
**ρ**: 15.6 Mg/m³

=====

No. 7
Here is a relaxed La3SmAg7 crystal from Alexandria. Energies are from PBE.

Geometry as POSCAR:
```
La3SmAg7
1.0
-0.4223 2.7631 2.6832
-6.9342 -7.3559 3.6861
10.4029 -5.9273 7.7413
La Ag Sm
6 14 2
Direct
0.8787 0.7573 0.5327
0.8787 0.7573 0.9673
0.1213 0.2427 0.0327
0.2310 0.4620 0.7500
0.7690 0.5380 0.2500
0.1213 0.2427 0.4673
0.2687 0.5374 0.0651
0.3940 0.7880 0.7500
0.3838 0.7676 0.1528
0.6162 0.2324 0.8472
0.4897 0.9794 0.5926
0.6162 0.2324 0.6528
0.2687 0.5374 0.4349
0.5103 0.0206 0.0926
0.3838 0.7676 0.3472
0.6060 0.2120 0.2500
0.5103 0.0206 0.4074
0.4897 0.9794 0.9074
0.7313 0.4626 0.5651
0.7313 0.4626 0.9349
0.9867 0.9733 0.2500
0.0133 0.0267 0.7500
```

Calculated values
**Energy relative to the elements**: -180.1 meV/atom
**Symmetry**: Cmcm
**ρ**: 7.5 Mg/m³

=====

No. 8
Here is a relaxed Ac2GaH crystal from Alexandria. Energies are from PBE.

Geometry as POSCAR:
```
Ac2GaH
1.0
-0.7971 3.6018 -0.0017
-1.3042 -0.2902 -3.4385
-7.0314 -1.5547 2.7981
H Ac Ga
1 2 1
Direct
0.5000 0.5000 0.5000
0.0000 0.0000 0.7403
0.0000 0.0000 0.2597
0.5000 0.5000 0.0000
```

Calculated values
**Total energy**: -3.81 eV/atom
**Symmetry**: P4/mmm
**ρ**: 8.3 Mg/m³

=====

No. 9
Here is a relaxed SiIrSCl2 crystal from Alexandria. Energies are from PBE.

Geometry as POSCAR:
```
SiIrSCl2
1.0
-0.4302 1.5245 -4.2900
2.7460 -3.3501 -1.4659
-3.7555 -2.8067 -0.6208
S Si Ir Cl
1 1 1 2
Direct
0.0000 0.0000 0.5000
0.0000 0.0000 0.0000
0.5000 0.5000 0.5000
0.0000 0.5000 0.0000
0.5000 0.0000 0.0000
```

Calculated values
**Energy relative to the elements, uncorrected**: 0.86 eV per atom
**Symmetry**: P4/mmm
**ρ**: 5.4 Mg/m³

=====

No. 10
Here is a relaxed KLiV2Se crystal from Alexandria. Energies are from PBE.

Geometry as POSCAR:
```
KLiV2Se
1.0
4.7972 0.0000 0.0000
0.0000 5.2170 0.0000
0.0000 0.0000 4.7972
K Se V Li
1 1 2 1
Direct
0.0000 0.5000 0.0000
0.5000 0.5000 0.5000
0.5000 0.0000 0.0000
0.0000 0.0000 0.5000
0.0000 0.0000 0.0000
```

Calculated values
**Energy relative to the elements, uncorrected**: 1.10 eV per atom
**Symmetry**: P4/mmm
**ρ**: 3.1 Mg/m³

=====

No. 11
Here is a relaxed Li2Tl crystal from Alexandria. Energies are from PBE.

Geometry as POSCAR:
```
Li2Tl
1.0
14.0461 0.0092 0.0000
12.8096 5.7627 0.0000
-13.4279 -2.8859 2.9424
Tl Li
4 8
Direct
0.0774 0.0774 0.0000
0.9226 0.9226 0.0000
0.1726 0.6726 0.5000
0.3274 0.8274 0.5000
0.5868 0.5868 0.0000
0.5014 0.0014 0.5000
0.4132 0.4132 0.0000
0.9986 0.4986 0.5000
0.8368 0.3368 0.5000
0.6632 0.1632 0.5000
0.2514 0.2514 0.0000
0.7486 0.7486 0.0000
```

Calculated values
**Energy relative to the elements**: -202.3 meV/atom
**Symmetry**: I4_1/amd
**ρ**: 6.1 Mg/m³

=====

No. 12
Here is a relaxed Mo4ICl7 crystal from Alexandria. Energies are from PBE.

Geometry as POSCAR:
```
Mo4ICl7
1.0
6.5536 -0.0504 -0.3534
-0.1560 7.0574 1.9264
-1.1504 4.4425 17.2959
Mo I Cl
8 2 14
Direct
0.9869 0.6211 0.2016
0.6833 0.6128 0.1363
0.5052 0.0899 0.7686
0.8456 0.3859 0.3638
0.0177 0.9114 0.7313
0.2164 0.2724 0.7172
0.5420 0.3775 0.2985
0.3064 0.7289 0.7827
0.6821 0.9845 0.4362
0.8467 0.0142 0.0639
0.5687 0.9178 0.6857
0.1002 0.7090 0.6581
0.4718 0.7642 0.9034
0.9540 0.0836 0.8142
0.9787 0.5152 0.0889
0.4227 0.2923 0.8418
0.0056 0.5665 0.8639
0.5170 0.4348 0.6360
0.1121 0.2639 0.3120
0.5501 0.4834 0.4112
0.5617 0.2554 0.1955
0.9670 0.7433 0.3046
0.4167 0.7348 0.1881
0.0509 0.2372 0.5965
```

Calculated values
**Energy relative to the elements, uncorrected**: -0.65 eV per atom
**Symmetry**: P1
**ρ**: 3.4 Mg/m³

=====

No. 13
Here is a relaxed CoAgCl6 crystal from Alexandria. Energies are from PBE.

Geometry as POSCAR:
```
CoAgCl6
1.0
-3.9939 -0.7833 4.1786
-1.3907 -6.0943 1.7478
2.1833 -2.9945 5.8479
Cl Co Ag
6 1 1
Direct
0.3703 0.8221 0.7918
0.2198 0.9174 0.2471
0.7802 0.0826 0.7529
0.9301 0.6005 0.2307
0.0699 0.3995 0.7693
0.6297 0.1779 0.2082
0.0000 0.0000 0.0000
0.5000 0.5000 0.5000
```

Calculated values
**Energy relative to the elements, uncorrected**: -0.30 eV per atom
**Symmetry**: P-1
**ρ**: 3.4 Mg/m³

=====

No. 14
Here is a relaxed Mg2TiMo crystal from Alexandria. Energies are from PBE.

Geometry as POSCAR:
```
Mg2TiMo
1.0
7.5778 0.0000 0.0000
0.0000 7.5778 0.0000
3.7889 3.7889 2.6147
Mg Ti Mo
4 2 2
Direct
0.1178 0.6250 0.2500
0.6322 0.1250 0.2500
0.3750 0.3678 0.7500
0.8750 0.8822 0.7500
0.5000 0.5000 0.0000
0.2500 0.7500 0.5000
0.7500 0.2500 0.5000
0.0000 0.0000 0.0000
```

Calculated values
**Energy relative to the elements**: 715.8 meV/atom
**Symmetry**: I-42d
**ρ**: 4.3 Mg/m³

=====

No. 15
Here is a relaxed SmAs3 crystal from Alexandria. Energies are from PBE.

Geometry as POSCAR:
```
SmAs3
1.0
-2.0999 -3.4856 1.7081
3.1257 -0.3670 3.0939
-2.3015 2.6819 2.6433
Sm As
1 3
Direct
0.0000 0.0000 0.0000
0.5000 0.0000 0.5000
0.5000 0.5000 0.0000
0.0000 0.5000 0.5000
```

Calculated values
**Energy relative to the elements**: -514.9 meV/atom
**Symmetry**: Pm-3m
**ρ**: 7.2 Mg/m³

=====

No. 16
Here is a relaxed HfZr2Tl2 crystal from Alexandria. Energies are from PBE.

Geometry as POSCAR:
```
HfZr2Tl2
1.0
-1.6020 -2.5813 -0.9564
1.5808 -2.5605 4.5349
-5.2868 0.0627 5.2318
Zr Hf Tl
2 1 2
Direct
0.2061 0.9044 0.1897
0.7939 0.0956 0.8103
0.0000 0.5000 0.0000
0.5890 0.6980 0.6058
0.4110 0.3020 0.3942
```

Calculated values
**Energy relative to the elements**: 60.5 meV/atom
**Symmetry**: P-1
**ρ**: 10.8 Mg/m³

=====

No. 17
Here is a relaxed TbDy3Tl4S8 crystal from Alexandria. Energies are from PBE.

Geometry as POSCAR:
```
TbDy3Tl4S8
1.0
-5.1277 0.3713 -6.2229
6.6441 -1.7406 -5.5786
-1.2762 -5.2796 5.9717
S Tl Dy Tb
8 4 3 1
Direct
0.2333 0.6980 0.9650
0.7667 0.3020 0.5335
0.7326 0.6976 0.4652
0.7667 0.3020 0.0350
0.2674 0.3024 0.5348
0.7317 0.6980 0.9650
0.2683 0.3020 0.0350
0.2333 0.6980 0.4665
0.5000 0.0000 0.5000
0.0000 0.0000 0.5000
0.0000 0.0000 0.0000
0.5000 0.0000 0.0000
0.0000 0.5000 0.5000
0.5000 0.5000 0.0000
0.5000 0.5000 0.5000
0.0000 0.5000 0.0000
```

Calculated values
**Energy relative to the elements, uncorrected**: -1.49 eV per atom
**Symmetry**: R-3m
**ρ**: 6.7 Mg/m³

=====

No. 18
Here is a relaxed VSb2AsI crystal from Alexandria. Energies are from PBE.

Geometry as POSCAR:
```
VSb2AsI
1.0
5.3543 0.0000 0.0000
0.0000 5.3543 0.0000
0.0000 0.0000 5.4371
V I Sb As
1 1 2 1
Direct
0.5000 0.5000 0.5000
0.0000 0.0000 0.5000
0.0000 0.5000 0.0000
0.5000 0.0000 0.0000
0.0000 0.0000 0.0000
```

Calculated values
**Energy relative to the elements, uncorrected**: 1.23 eV per atom
**Symmetry**: P4/mmm
**ρ**: 5.3 Mg/m³

=====

No. 19
Here is a relaxed LaDyAlZn crystal from Alexandria. Energies are from PBE.

Geometry as POSCAR:
```
LaDyAlZn
1.0
3.6562 0.0000 0.0000
0.0000 3.6562 0.0000
0.0000 0.0000 7.4917
La Al Dy Zn
1 1 1 1
Direct
0.0000 0.0000 0.8579
0.5000 0.5000 0.1289
0.0000 0.0000 0.3639
0.5000 0.5000 0.5772
```

Calculated values
**Energy relative to the elements**: -355.3 meV/atom
**Symmetry**: P4mm
**ρ**: 6.5 Mg/m³

=====

No. 20
Here is a relaxed ErTh2Pt2 crystal from Alexandria. Energies are from PBE.

Geometry as POSCAR:
```
ErTh2Pt2
1.0
-3.1126 -0.6985 2.2389
4.6690 -3.8219 5.2986
1.2460 6.9140 3.8892
Er Th Pt
2 4 4
Direct
0.0000 0.5000 0.5000
0.0000 0.0000 0.0000
0.5000 0.1702 0.6702
0.5000 0.3298 0.1702
0.5000 0.8298 0.3298
0.5000 0.6702 0.8298
0.0000 0.8677 0.6323
0.0000 0.6323 0.1323
0.0000 0.3677 0.8677
0.0000 0.1323 0.3677
```

Calculated values
**Energy relative to the elements**: -1029.0 meV/atom
**Symmetry**: P4/mbm
**ρ**: 13.5 Mg/m³

=====

No. 21
Here is a relaxed KTcPd crystal from Alexandria. Energies are from PBE.

Geometry as POSCAR:
```
KTcPd
1.0
-1.1191 -1.3555 -5.7652
5.6298 -5.2815 -0.4743
-1.5099 -2.6519 0.9166
Tc Pd K
2 2 2
Direct
0.3098 0.1164 0.6341
0.5461 0.9900 0.1971
0.7685 0.7585 0.8121
0.0097 0.9815 0.2012
0.7906 0.3483 0.5177
0.2792 0.6262 0.8835
```

Calculated values
**Energy relative to the elements**: 454.4 meV/atom
**Symmetry**: P1
**ρ**: 5.6 Mg/m³

=====

No. 22
Here is a relaxed NaAgSb crystal from Alexandria. Energies are from PBE.

Geometry as POSCAR:
```
NaAgSb
1.0
4.8690 0.3889 -0.2543
1.9497 6.6360 0.8889
-0.0270 3.6847 5.6417
Ag Sb Na
2 2 2
Direct
0.0850 0.3268 0.2897
0.9150 0.6732 0.7103
0.6207 0.2568 0.5253
0.3793 0.7432 0.4747
0.6646 0.1701 0.0769
0.3354 0.8299 0.9231
```

Calculated values
**Energy relative to the elements, uncorrected**: -0.16 eV per atom
**Symmetry**: P-1
**ρ**: 5.2 Mg/m³